No. 1
This record from Alexandria describes ErTiAgSn after structural relaxation. The functional is GGA-PBE.

abc: 4.9702 4.9702 4.9702
angles: 60.00 60.00 60.00
Atoms (fractional coordinates):
Er1 0.0000 0.0000 0.0000
Ti1 0.5000 0.5000 0.5000
Ag1 0.2500 0.2500 0.2500
Sn1 0.7500 0.7500 0.7500

Summary:
For the density of states at the Fermi level, the calculation gives 0.668 states/eV/atom. The calculation puts the formation energy from the elements at -0.253 eV/atom.

No. 2
This record from Alexandria describes ErTmAgSn after structural relaxation. The functional is GGA-PBE.

abc: 5.1768 5.1768 5.1768
angles: 60.00 60.00 60.00
Atoms (fractional coordinates):
Er1 0.0000 0.0000 0.0000
Tm1 0.5000 0.5000 0.5000
Ag1 0.7500 0.7500 0.7500
Sn1 0.2500 0.2500 0.2500

Summary:
For the density of states at the Fermi level, the calculation gives 0.895 states/eV/atom. The calculation puts the formation energy from the elements at -0.483 eV/atom.

No. 3
This record from Alexandria describes ErZnAgSn after structural relaxation. The functional is GGA-PBE.

abc: 4.9280 4.9280 4.9280
angles: 60.00 60.00 60.00
Atoms (fractional coordinates):
Er1 0.0000 0.0000 0.0000
Zn1 0.2500 0.2500 0.2500
Ag1 0.7500 0.7500 0.7500
Sn1 0.5000 0.5000 0.5000

Summary:
For the density of states at the Fermi level, the calculation gives 0.480 states/eV/atom. The calculation puts the formation energy from the elements at -0.281 eV/atom.

No. 4
This record from Alexandria describes ErZrAgSn after structural relaxation. The functional is GGA-PBE.

abc: 5.0481 5.0481 5.0481
angles: 60.00 60.00 60.00
Atoms (fractional coordinates):
Er1 0.0000 0.0000 0.0000
Zr1 0.5000 0.5000 0.5000
Ag1 0.2500 0.2500 0.2500
Sn1 0.7500 0.7500 0.7500

Summary:
For the density of states at the Fermi level, the calculation gives 0.839 states/eV/atom. The calculation puts the formation energy from the elements at -0.330 eV/atom.

No. 5
This record from Alexandria describes Sr3ErAg4 after structural relaxation. The functional is GGA-PBE.

abc: 3.8096 3.8096 15.6603
angles: 90.00 90.00 90.00
Atoms (fractional coordinates):
Sr1 0.0000 0.0000 0.0000
Sr2 0.0000 0.0000 0.2595
Sr3 0.0000 0.0000 0.7405
Er1 0.0000 0.0000 0.5000
Ag1 0.5000 0.5000 0.1291
Ag2 0.5000 0.5000 0.4006
Ag3 0.5000 0.5000 0.5994
Ag4 0.5000 0.5000 0.8709

Summary:
For the density of states at the Fermi level, the calculation gives 0.855 states/eV/atom. The calculation puts the formation energy from the elements at -0.268 eV/atom.

No. 6
This record from Alexandria describes SrErAg after structural relaxation. The functional is GGA-PBE.

abc: 7.2132 7.2132 7.2132
angles: 149.86 149.86 43.15
Atoms (fractional coordinates):
Sr1 0.0000 0.0000 0.0000
Er1 0.2757 0.2757 0.0000
Ag1 0.6667 0.6667 0.0000

Summary:
For the density of states at the Fermi level, the calculation gives 0.652 states/eV/atom. Its energy above the most stable polymorph in this dataset is 27 meV/atom. The calculation puts the formation energy from the elements at -0.123 eV/atom.

No. 7
This record from Alexandria describes SrEr3Ag4 after structural relaxation. The functional is GGA-PBE.

abc: 10.3998 7.3303 5.1997
angles: 90.00 90.00 90.00
Atoms (fractional coordinates):
Sr1 0.0000 0.0000 0.0000
Sr2 0.5000 0.0000 0.0000
Er1 0.0000 0.5000 0.0000
Er2 0.2500 0.0000 0.4994
Er3 0.2500 0.5000 0.4992
Er4 0.5000 0.5000 0.0000
Er5 0.7500 0.0000 0.5006
Er6 0.7500 0.5000 0.5008
Ag1 0.0000 0.2705 0.5000
Ag2 0.0000 0.7295 0.5000
Ag3 0.2500 0.2705 0.9988
Ag4 0.2500 0.7295 0.9988
Ag5 0.5000 0.2705 0.5000
Ag6 0.5000 0.7295 0.5000
Ag7 0.7500 0.2705 0.0012
Ag8 0.7500 0.7295 0.0012

Summary:
For the density of states at the Fermi level, the calculation gives 0.549 states/eV/atom. The calculation puts the formation energy from the elements at -0.278 eV/atom.

No. 8
This record from Alexandria describes SrErAg4 after structural relaxation. The functional is GGA-PBE.

abc: 5.8117 5.8117 5.8117
angles: 60.00 60.00 60.00
Atoms (fractional coordinates):
Sr1 0.0000 0.0000 0.0000
Er1 0.2500 0.2500 0.2500
Ag1 0.1262 0.6246 0.6246
Ag2 0.6246 0.1262 0.6246
Ag3 0.6246 0.6246 0.1262
Ag4 0.6246 0.6246 0.6246

Summary:
For the density of states at the Fermi level, the calculation gives 1.454 states/eV/atom. The calculation puts the formation energy from the elements at -0.126 eV/atom.